# 1
Below is an optimized crystal structure of Ba2TlSi, with properties calculated at the PBE-GGA level.

Unit cell a=5.640 b=5.683 c=9.703 alpha=90.00 beta=90.00 gamma=90.00
Space group Cmm2 (No. 35)
Symmetry-distinct sites (fractional):
Ba1 0.000 0.000 0.000
Ba2 0.000 0.500 0.414
Tl1 0.000 0.000 0.647
Si1 0.000 0.500 0.780

## Properties
formation energy without anion corrections: 0.0019 eV per atom
density: 5.4 g/cm³

---

# 2
Below is an optimized crystal structure of BaTlSi2, with properties calculated at the PBE-GGA level.

Unit cell a=3.628 b=3.628 c=7.717 alpha=90.00 beta=90.00 gamma=90.00
Space group P4mm (No. 99)
Symmetry-distinct sites (fractional):
Ba1 0.000 0.000 0.000
Tl1 0.500 0.500 0.656
Si1 0.000 0.000 0.409
Si2 0.500 0.500 0.299

## Properties
energy above the lowest structure with this stoichiometry: 171 meV/atom
formation energy without anion corrections: 0.0429 eV per atom
density: 6.5 g/cm³

---

# 3
Below is an optimized crystal structure of Ba2TlSi, with properties calculated at the PBE-GGA level.

Unit cell a=4.649 b=5.065 c=12.738 alpha=90.00 beta=90.00 gamma=90.00
Space group Amm2 (No. 38)
Symmetry-distinct sites (fractional):
Ba1 0.000 0.000 0.000
Ba2 0.500 0.000 0.279
Tl1 0.500 0.000 0.576
Si1 0.000 0.000 0.710

## Properties
formation energy without anion corrections: -0.3255 eV per atom
density: 5.6 g/cm³

---

# 4
Below is an optimized crystal structure of Ba2TlSi, with properties calculated at the PBE-GGA level.

Unit cell a=4.128 b=4.128 c=8.404 alpha=90.00 beta=90.00 gamma=90.00
Space group P4/mmm (No. 123)
Symmetry-distinct sites (fractional):
Ba1 0.000 0.000 0.218
Tl1 0.500 0.500 0.500
Si1 0.500 0.500 0.000

## Properties
formation energy without anion corrections: -0.2459 eV per atom
density: 5.9 g/cm³

---

# 5
Below is an optimized crystal structure of BaTlSi3, with properties calculated at the PBE-GGA level.

Unit cell a=5.342 b=5.342 c=5.342 alpha=90.00 beta=90.00 gamma=90.00
Space group Pm-3m (No. 221)
Symmetry-distinct sites (fractional):
Ba1 0.000 0.000 0.000
Tl1 0.500 0.500 0.500
Si1 0.000 0.500 0.500

## Properties
energy above the lowest structure with this stoichiometry: 0 meV/atom
formation energy without anion corrections: 0.7439 eV per atom
density: 4.6 g/cm³

---

# 6
Below is an optimized crystal structure of Ba2TlSi, with properties calculated at the PBE-GGA level.

Unit cell a=8.223 b=8.223 c=8.223 alpha=90.00 beta=90.00 gamma=90.00
Space group F-43m (No. 216)
Symmetry-distinct sites (fractional):
Ba1 0.000 0.000 0.000
Ba2 0.250 0.250 0.250
Tl1 0.000 0.000 0.500
Si1 0.250 0.250 0.750

## Properties
formation energy without anion corrections: 0.0843 eV per atom
density: 6.1 g/cm³